The following is a DFT calculation (PBE) of a relaxed ZnTcPS2 crystal.

Summary:
theoretical density	4.332	g/cm3
space group	P4/mmm, No. 123
formation energy without anion corrections	1.114	eV per atom
ΔE to the lowest computed polymorph	0.687	eV per atom

Unit cell a=4.651 b=4.651 c=4.581 alpha=90.00 beta=90.00 gamma=90.00
Element x y z (fractional)
Zn: 0.000 0.000 0.000
Tc: 0.500 0.500 0.500
P: 0.000 0.000 0.500
S: 0.000 0.500 0.000
S: 0.500 0.000 0.000